This record from the Alexandria database describes a geometry-optimized LiBeCu2 structure. The functional is PBEsol.

Computed properties:
Space group: No. 123
E_tot in eV per cell: -14.8
N(E_F) in states/eV per atom: 0.31
Energy relative to the elements in kJ/mol of formula units: -19
Mass density in g/cm3: 5.4
M_tot in μB per cell: 0.0

Cell and atoms, written as POSCAR:
```
LiBeCu2
1.0
2.5528 0.0382 0.0000
-0.0427 2.5527 0.0000
0.0000 0.0000 6.7120
Li Cu Be
1 2 1
Cartesian
1.2550 1.2955 3.3560
0.0000 0.0000 1.3969
0.0000 0.0000 5.3151
1.2550 1.2955 0.0000
```